No. 1
LiTl2Zn: optimized geometry, PBE.

Properties
N(E_F) = 6.7 states/eV per cell
ΔH_f (0 K) = 61 meV/atom

Structure (CIF):
```
data_LiTl2Zn
_chemical_formula_sum 'Li3 Tl6 Zn3'
_symmetry_space_group_name_H-M 'R 3 m'
_symmetry_Int_Tables_number 160
_symmetry_space_group_name_Hall 'R 3 -2"'
_cell_length_a 3.9576
_cell_length_b 3.9576
_cell_length_c 21.8135
_cell_angle_alpha 90.00
_cell_angle_beta 90.00
_cell_angle_gamma 120.00
loop_
_atom_site_label
_atom_site_fract_x
_atom_site_fract_y
_atom_site_fract_z
_atom_site_occupancy
Li1 0.0000 0.0000 0.0000 1
Tl1 0.0000 0.0000 0.2478 1
Tl2 0.0000 0.0000 0.4215 1
Zn1 0.0000 0.0000 0.8350 1
```

---

No. 2
Li4TlZn: optimized geometry, PBE.

Properties
N(E_F) = 8.6 states/eV per cell
ΔH_f (0 K) = -22 meV/atom
energy relative to the lowest polymorph listed for this composition = 0.156 eV per atom

Structure (CIF):
```
data_Li4TlZn
_chemical_formula_sum 'Li16 Tl4 Zn4'
_symmetry_space_group_name_H-M 'F -4 3 m'
_symmetry_Int_Tables_number 216
_symmetry_space_group_name_Hall 'F -4 2 3'
_cell_length_a 7.520
_cell_length_b 7.520
_cell_length_c 7.520
_cell_angle_alpha 90.00
_cell_angle_beta 90.00
_cell_angle_gamma 90.00
loop_
_atom_site_label
_atom_site_fract_x
_atom_site_fract_y
_atom_site_fract_z
_atom_site_occupancy
Li1 0.125 0.125 0.125 1
Tl1 0.250 0.250 0.750 1
Zn1 0.000 0.000 0.500 1
```

---

No. 3
LiTl2Zn: optimized geometry, PBE.

Properties
N(E_F) = 1.6 states/eV per cell
ΔH_f (0 K) = -15 meV/atom

Structure (CIF):
```
data_LiTl2Zn
_chemical_formula_sum 'Li1 Tl2 Zn1'
_symmetry_space_group_name_H-M 'P 1 m 1'
_symmetry_Int_Tables_number 6
_cell_length_a 3.574
_cell_length_b 4.734
_cell_length_c 5.443
_cell_angle_alpha 90.00
_cell_angle_beta 99.23
_cell_angle_gamma 90.00
loop_
_symmetry_equiv_pos_as_xyz
'x,y,z'
'x,-y,z'
loop_
_atom_site_label
_atom_site_fract_x
_atom_site_fract_y
_atom_site_fract_z
_atom_site_occupancy
Li1 0.000 0.000 0.000 1
Tl1 0.376 0.000 0.539 1
Tl2 0.548 0.500 0.141 1
Zn1 0.924 0.500 0.688 1
```

---

No. 4
Li5Tl2Zn: optimized geometry, PBE.

Properties
N(E_F) = 4.5 states/eV per cell
ΔH_f (0 K) = -173 meV/atom

Structure (CIF):
```
data_Li5Tl2Zn
_chemical_formula_sum 'Li10 Tl4 Zn2'
_symmetry_space_group_name_H-M 'I 4/m m m'
_symmetry_Int_Tables_number 139
_symmetry_space_group_name_Hall '-I 4 2'
_cell_length_a 4.815
_cell_length_b 4.815
_cell_length_c 12.788
_cell_angle_alpha 90.00
_cell_angle_beta 90.00
_cell_angle_gamma 90.00
loop_
_atom_site_label
_atom_site_fract_x
_atom_site_fract_y
_atom_site_fract_z
_atom_site_occupancy
Li1 0.000 0.000 0.000 1
Li2 0.000 0.500 0.118 1
Tl1 0.000 0.000 0.251 1
Zn1 0.000 0.000 0.500 1
```